Li6V3P8O29 PBE+U relaxed; polymorph energy (0 for the lowest one) = 0.0048 eV/atom; SG = P1 (1); ρ = 2.60 g cm⁻³; M_tot = 5.999 μB/cell
1.0
9.744 0.000 0.000
4.786 8.543 0.000
0.670 0.413 13.932
Li V P O
12 6 16 58
Direct
0.000 0.000 0.000 Li
0.001 0.000 0.496 Li
0.021 0.542 0.455 Li
0.092 0.626 0.826 Li
0.233 0.648 0.319 Li
0.330 0.354 0.923 Li
0.362 0.240 0.386 Li
0.458 0.944 0.446 Li
0.546 0.408 0.439 Li
0.558 0.007 0.961 Li
0.655 0.223 0.829 Li
0.965 0.441 0.950 Li
0.329 0.765 0.126 V
0.333 0.874 0.660 V
0.758 0.892 0.144 V
0.772 0.314 0.630 V
0.881 0.328 0.156 V
0.896 0.747 0.640 V
0.001 0.555 0.237 P
0.008 0.397 0.737 P
0.099 0.646 0.048 P
0.134 0.219 0.558 P
0.228 0.130 0.057 P
0.244 0.648 0.543 P
0.406 0.005 0.236 P
0.409 0.522 0.729 P
0.530 0.404 0.232 P
0.564 0.992 0.739 P
0.641 0.240 0.046 P
0.645 0.089 0.548 P
0.662 0.657 0.524 P
0.674 0.658 0.023 P
0.984 0.983 0.761 P
0.995 0.978 0.258 P
0.006 0.963 0.366 O
0.059 0.268 0.055 O
0.061 0.332 0.836 O
0.076 0.664 0.549 O
0.083 0.565 0.323 O
0.097 0.555 0.963 O
0.112 0.539 0.143 O
0.137 0.985 0.724 O
0.138 0.289 0.659 O
0.141 0.835 0.212 O
0.152 0.319 0.479 O
0.220 0.974 0.054 O
0.225 0.809 0.567 O
0.242 0.670 0.042 O
0.274 0.051 0.560 O
0.287 0.136 0.162 O
0.316 0.481 0.803 O
0.325 0.585 0.449 O
0.335 0.149 0.983 O
0.344 0.062 0.335 O
0.344 0.521 0.624 O
0.387 0.687 0.740 O
0.406 0.577 0.217 O
0.413 0.849 0.213 O
0.424 0.964 0.744 O
0.485 0.337 0.320 O
0.505 0.678 0.044 O
0.525 0.320 0.137 O
0.529 0.771 0.594 O
0.546 0.084 0.471 O
0.549 0.107 0.650 O
0.556 0.317 0.955 O
0.566 0.996 0.216 O
0.582 0.393 0.722 O
0.585 0.061 0.827 O
0.615 0.716 0.423 O
0.660 0.816 0.053 O
0.668 0.235 0.538 O
0.677 0.067 0.049 O
0.677 0.489 0.543 O
0.697 0.382 0.240 O
0.716 0.833 0.714 O
0.737 0.614 0.923 O
0.786 0.525 0.094 O
0.797 0.241 0.060 O
0.811 0.945 0.560 O
0.821 0.643 0.552 O
0.842 0.126 0.710 O
0.843 0.708 0.220 O
0.843 0.986 0.221 O
0.850 0.409 0.710 O
0.951 0.808 0.059 O
0.959 0.999 0.868 O
0.975 0.414 0.242 O
0.977 0.210 0.557 O
0.993 0.131 0.216 O
0.997 0.561 0.723 O
0.997 0.826 0.728 O